[1]
Y5ThTl3 | PBE | optimized geometry

Cell and atoms, written as POSCAR:
```
Y5ThTl3
1.0
-2.2890 -4.3171 4.6004
8.6524 -0.5912 3.7504
-6.0644 6.5395 3.1193
Y Tl Th
10 6 2
Direct
0.0000 0.6667 0.3334 Y
0.7500 0.6763 0.6764 Y
0.2500 0.3237 0.3236 Y
0.2500 0.0000 0.6764 Y
0.5000 0.6667 0.3334 Y
0.5000 0.3333 0.6666 Y
0.0000 0.3333 0.6666 Y
0.2500 0.6763 0.0000 Y
0.7500 0.3237 0.0000 Y
0.7500 0.0000 0.3236 Y
0.2500 0.0000 0.3459 Tl
0.7500 0.0000 0.6541 Tl
0.2500 0.6541 0.6541 Tl
0.2500 0.3459 0.0000 Tl
0.7500 0.3459 0.3459 Tl
0.7500 0.6541 0.0000 Tl
0.0000 0.0000 0.0000 Th
0.5000 0.0000 0.0000 Th
```

Fermi-level density of states (states/eV/cell): 22.2
ΔH_f (0 K) (meV per atom): -268.1
DFT total energy (eV per atom): -5.4724


[2]
YThTl2 | PBE | optimized geometry

Cell and atoms, written as POSCAR:
```
YThTl2
1.0
-1.5795 2.9581 -1.2042
-2.0742 0.0714 2.8962
6.0665 4.9581 4.2225
Y Th Tl
1 1 2
Direct
0.5000 0.5000 0.0000 Y
0.5000 0.5000 0.5000 Th
0.0000 0.0000 0.2402 Tl
0.0000 0.0000 0.7598 Tl
```

Fermi-level density of states (states/eV/cell): 3.4
ΔH_f (0 K) (meV per atom): -256.2
DFT total energy (eV per atom): -4.9104


[3]
Y2ThTl | PBE | optimized geometry

Cell and atoms, written as POSCAR:
```
Y2ThTl
1.0
-0.0461 -3.8792 -2.8028
4.3543 1.3570 -1.9499
2.3751 -2.5688 3.5162
Th Tl Y
1 1 2
Direct
0.5000 0.5000 0.5000 Th
0.5000 0.0000 0.0000 Tl
0.0000 0.0000 0.5000 Y
0.0000 0.5000 0.0000 Y
```

Fermi-level density of states (states/eV/cell): 5.9
ΔH_f (0 K) (meV per atom): -121.9
DFT total energy (eV per atom): -5.8005
E above lowest polymorph (eV/f.u.): 0.32


[4]
YThTl2 | PBE | optimized geometry

Cell and atoms, written as POSCAR:
```
YThTl2
1.0
3.6204 0.0000 0.0000
1.8102 3.1354 0.0000
1.8102 1.0451 10.4642
Tl Th Y
2 1 1
Direct
0.7462 0.7462 0.7614 Tl
0.2538 0.2538 0.2386 Tl
0.5000 0.5000 0.5000 Th
0.0000 0.0000 0.0000 Y
```

Fermi-level density of states (states/eV/cell): 3.8
ΔH_f (0 K) (meV per atom): -155.8
DFT total energy (eV per atom): -4.8099


[5]
Th2TlZn3 | PBE | optimized geometry

Cell and atoms, written as POSCAR:
```
Th2TlZn3
1.0
-0.5410 2.5495 2.9147
-4.5539 -0.7768 -0.1659
3.3586 -6.7727 3.9250
Th Zn Tl
2 3 1
Direct
0.8554 0.3554 0.7107 Th
0.1422 0.1422 0.2845 Th
0.7022 0.7022 0.4044 Zn
0.2918 0.7918 0.5836 Zn
0.5471 0.5471 0.0942 Zn
0.4613 0.9613 0.9226 Tl
```

Fermi-level density of states (states/eV/cell): 6.1
ΔH_f (0 K) (meV per atom): -168.8
DFT total energy (eV per atom): -3.6734
E above lowest polymorph (eV/f.u.): 0.23


[6]
ThTlZn | PBE | optimized geometry

Cell and atoms, written as POSCAR:
```
ThTlZn
1.0
4.4192 0.0000 0.0000
0.0000 7.5909 0.0000
0.0000 0.0000 13.4495
Zn Tl Th
6 6 6
Direct
0.5000 0.0597 0.4115 Zn
0.5000 0.9403 0.5885 Zn
0.0000 0.5681 0.2500 Zn
0.0000 0.4319 0.7500 Zn
0.5000 0.9403 0.9115 Zn
0.5000 0.0597 0.0885 Zn
0.5000 0.5639 0.6180 Tl
0.5000 0.4361 0.1180 Tl
0.5000 0.4361 0.3820 Tl
0.5000 0.5639 0.8820 Tl
0.5000 0.1752 0.7500 Tl
0.5000 0.8248 0.2500 Tl
0.0000 0.7676 0.4522 Th
0.0000 0.2324 0.5478 Th
0.0000 0.2324 0.9522 Th
0.0000 0.7676 0.0478 Th
0.0000 0.8370 0.7500 Th
0.0000 0.1630 0.2500 Th
```

Fermi-level density of states (states/eV/cell): 9.6
ΔH_f (0 K) (meV per atom): -157.5
DFT total energy (eV per atom): -3.8442


[7]
Th3TlZn2 | PBE | optimized geometry

Cell and atoms, written as POSCAR:
```
Th3TlZn2
1.0
3.4952 0.0000 0.0000
0.0000 3.4952 0.0000
0.0000 0.0000 12.8281
Zn Th Tl
2 3 1
Direct
0.5000 0.5000 0.8418 Zn
0.5000 0.5000 0.1582 Zn
0.0000 0.0000 0.3117 Th
0.0000 0.0000 0.0000 Th
0.0000 0.0000 0.6883 Th
0.5000 0.5000 0.5000 Tl
```

Fermi-level density of states (states/eV/cell): 6.4
ΔH_f (0 K) (meV per atom): -145.5
DFT total energy (eV per atom): -4.6745


[8]
Th5TlZn4 | PBE | optimized geometry

Cell and atoms, written as POSCAR:
```
Th5TlZn4
1.0
3.6303 0.0000 0.0000
0.0000 3.6303 0.0000
0.0000 0.0000 19.4914
Th Zn Tl
5 4 1
Direct
0.5000 0.5000 0.3112 Th
0.5000 0.5000 0.1180 Th
0.5000 0.5000 0.6888 Th
0.5000 0.5000 0.8820 Th
0.5000 0.5000 0.5000 Th
0.0000 0.0000 0.2143 Zn
0.0000 0.0000 0.4053 Zn
0.0000 0.0000 0.7857 Zn
0.0000 0.0000 0.5947 Zn
0.0000 0.0000 0.0000 Tl
```

Fermi-level density of states (states/eV/cell): 7.7
ΔH_f (0 K) (meV per atom): -153.4
DFT total energy (eV per atom): -4.6095


[9]
ThTl2Zn | PBE | optimized geometry

Cell and atoms, written as POSCAR:
```
ThTl2Zn
1.0
-1.4510 -1.4593 4.2662
-3.8694 -1.7852 -1.9267
2.2015 -4.0753 -0.6453
Tl Th Zn
2 1 1
Direct
0.0000 0.5000 0.0000 Tl
0.0000 0.0000 0.5000 Tl
0.5000 0.5000 0.5000 Th
0.5000 0.0000 0.0000 Zn
```

Fermi-level density of states (states/eV/cell): 1.8
ΔH_f (0 K) (meV per atom): -129.1
DFT total energy (eV per atom): -3.4856


[10]
Th5Tl3Zn3 | PBE | optimized geometry

Cell and atoms, written as POSCAR:
```
Th5Tl3Zn3
1.0
3.6309 2.2229 0.5701
3.2621 12.4217 -4.4631
1.3553 -0.2676 8.5461
Tl Zn Th
3 3 5
Direct
0.0300 0.9888 0.6215 Tl
0.8949 0.3670 0.3785 Tl
0.0293 0.6443 0.0000 Tl
0.6040 0.9081 0.7955 Zn
0.7094 0.0545 0.9999 Zn
0.9904 0.1129 0.2047 Zn
0.7323 0.2931 0.0002 Th
0.2941 0.3413 0.6828 Th
0.7223 0.9707 0.3096 Th
0.6514 0.6607 0.6899 Th
0.3419 0.6586 0.3173 Th
```

Fermi-level density of states (states/eV/cell): 9.3
ΔH_f (0 K) (meV per atom): -61.3
DFT total energy (eV per atom): -4.4268


[11]
ThTlZn | PBE | optimized geometry

Cell and atoms, written as POSCAR:
```
ThTlZn
1.0
4.8431 0.0000 0.0000
2.4215 4.1942 0.0000
2.4215 1.3981 3.9544
Tl Zn Th
1 1 1
Direct
0.0000 0.0000 0.0000 Tl
0.2500 0.2500 0.2500 Zn
0.5000 0.5000 0.5000 Th
```

Fermi-level density of states (states/eV/cell): 2.5
ΔH_f (0 K) (meV per atom): -34.8
DFT total energy (eV per atom): -3.7215


[12]
ThTl2Zn | PBE | optimized geometry

Cell and atoms, written as POSCAR:
```
ThTl2Zn
1.0
-2.0674 -2.2662 -3.5871
0.3789 -4.6908 -0.3600
-5.0646 -2.9104 1.6525
Tl Zn Th
2 1 1
Direct
0.7709 0.7709 0.6873 Tl
0.2291 0.2291 0.3127 Tl
0.5000 0.5000 0.5000 Zn
0.0000 0.0000 0.0000 Th
```

Fermi-level density of states (states/eV/cell): 1.8
ΔH_f (0 K) (meV per atom): 41.0
DFT total energy (eV per atom): -3.3156


[13]
ThTlZn | PBE | optimized geometry

Cell and atoms, written as POSCAR:
```
ThTlZn
1.0
-0.9449 -3.0074 0.4925
0.9482 0.1999 3.0399
-7.9144 4.2634 0.5137
Tl Zn Th
1 1 1
Direct
0.1351 0.1351 0.2702 Tl
0.7706 0.7706 0.5412 Zn
0.9443 0.9443 0.8886 Th
```

Fermi-level density of states (states/eV/cell): 2.5
ΔH_f (0 K) (meV per atom): 533.6
DFT total energy (eV per atom): -3.1530


[14]
Th4TlZn2 | PBE | optimized geometry

Cell and atoms, written as POSCAR:
```
Th4TlZn2
1.0
-0.5848 4.3889 -1.8954
-0.1040 0.5636 -4.7821
-10.5735 0.3010 -2.1599
Th Zn Tl
4 2 1
Direct
0.3025 0.3025 0.0926 Th
0.8880 0.8880 0.3361 Th
0.1120 0.1120 0.6639 Th
0.6975 0.6975 0.9074 Th
0.5968 0.5968 0.2097 Zn
0.4032 0.4032 0.7903 Zn
0.5000 0.5000 0.5000 Tl
```

Fermi-level density of states (states/eV/cell): 9.9
ΔH_f (0 K) (meV per atom): 145.4
DFT total energy (eV per atom): -4.7965


[15]
ThTlZn | PBE | optimized geometry

Cell and atoms, written as POSCAR:
```
ThTlZn
1.0
-2.5646 -2.7640 0.5612
3.5103 -3.2341 0.1127
-1.4136 2.1302 4.0322
Tl Th Zn
1 1 1
Direct
0.1304 0.0000 0.0000 Tl
0.6574 0.6667 0.3333 Th
0.2122 0.3333 0.6667 Zn
```

Fermi-level density of states (states/eV/cell): 1.5
ΔH_f (0 K) (meV per atom): -145.8
DFT total energy (eV per atom): -3.8325


[16]
Th4Tl2Zn | PBE | optimized geometry

Cell and atoms, written as POSCAR:
```
Th4Tl2Zn
1.0
-4.7234 -2.5292 0.2583
2.5374 -4.7238 0.1445
1.3378 4.0097 8.0265
Th Tl Zn
4 2 1
Direct
0.5000 0.0000 0.0000 Th
0.8225 0.8225 0.6450 Th
0.1775 0.1775 0.3550 Th
0.0000 0.5000 0.0000 Th
0.3698 0.3698 0.7395 Tl
0.6302 0.6302 0.2605 Tl
0.0000 0.0000 0.0000 Zn
```

Fermi-level density of states (states/eV/cell): 8.2
ΔH_f (0 K) (meV per atom): 337.3
DFT total energy (eV per atom): -4.7607


[17]
Th2TlZn5 | PBE | optimized geometry

Cell and atoms, written as POSCAR:
```
Th2TlZn5
1.0
-0.6192 -1.7789 4.0602
-6.7644 -2.6359 -4.6535
4.6361 -7.4125 -2.5405
Zn Th Tl
10 4 2
Direct
0.8151 0.6302 0.3924 Zn
0.3433 0.6867 0.9847 Zn
0.6567 0.3133 0.4847 Zn
0.3433 0.6867 0.5153 Zn
0.6567 0.3133 0.0153 Zn
0.8151 0.6302 0.1076 Zn
0.6056 0.2113 0.7500 Zn
0.1849 0.3698 0.6076 Zn
0.3944 0.7887 0.2500 Zn
0.1849 0.3698 0.8924 Zn
0.0000 0.0000 0.0000 Th
0.7952 0.5904 0.7500 Th
0.0000 0.0000 0.5000 Th
0.2048 0.4096 0.2500 Th
0.4458 0.8915 0.7500 Tl
0.5542 0.1085 0.2500 Tl
```

Fermi-level density of states (states/eV/cell): 8.7
ΔH_f (0 K) (meV per atom): -243.9
DFT total energy (eV per atom): -3.1909


[18]
Th2TlZn3 | PBE | optimized geometry

Cell and atoms, written as POSCAR:
```
Th2TlZn3
1.0
-0.0915 2.1084 -5.6041
-3.1846 -5.0487 -0.4775
-5.1078 5.5690 4.6930
Th Zn Tl
4 6 2
Direct
0.2457 0.2457 0.0000 Th
0.2500 0.7500 0.5000 Th
0.7500 0.2500 0.5000 Th
0.7543 0.7543 0.0000 Th
0.1622 0.6775 0.8397 Zn
0.3225 0.8378 0.1603 Zn
0.8378 0.3225 0.1603 Zn
0.6775 0.1622 0.8397 Zn
0.1610 0.1610 0.3219 Zn
0.8390 0.8390 0.6781 Zn
0.6660 0.6660 0.3320 Tl
0.3340 0.3340 0.6680 Tl
```

Fermi-level density of states (states/eV/cell): 10.4
ΔH_f (0 K) (meV per atom): -206.7
DFT total energy (eV per atom): -3.7114
E above lowest polymorph (eV/f.u.): 0.00


[19]
Th3Tl2Zn4 | PBE | optimized geometry

Cell and atoms, written as POSCAR:
```
Th3Tl2Zn4
1.0
-1.9539 -3.1508 2.8547
5.7656 1.2307 1.4699
-5.4312 6.2907 3.2257
Tl Th Zn
2 3 4
Direct
0.3794 0.7588 0.7166 Tl
0.6206 0.2412 0.2834 Tl
0.0000 0.0000 0.0000 Th
0.3369 0.6738 0.3262 Th
0.6631 0.3262 0.6738 Th
0.9625 0.9251 0.6193 Zn
0.7424 0.4848 0.0612 Zn
0.2576 0.5152 0.9388 Zn
0.0375 0.0749 0.3807 Zn
```

Fermi-level density of states (states/eV/cell): 7.1
ΔH_f (0 K) (meV per atom): -197.1
DFT total energy (eV per atom): -3.7624


[20]
Th4TlZn3 | PBE | optimized geometry

Cell and atoms, written as POSCAR:
```
Th4TlZn3
1.0
-2.6173 -2.9636 -3.5139
6.4650 -1.6585 -3.4167
1.1460 -8.4419 6.2662
Th Tl Zn
8 2 6
Direct
0.9991 0.2399 0.7500 Th
0.5000 0.2398 0.0000 Th
0.0009 0.2399 0.2500 Th
0.5000 0.7602 0.5000 Th
0.5000 0.7602 0.0000 Th
0.9991 0.7601 0.7500 Th
0.0009 0.7601 0.2500 Th
0.5000 0.2398 0.5000 Th
0.0000 0.5000 0.0000 Tl
0.0000 0.5000 0.5000 Tl
0.4993 0.5000 0.7500 Zn
0.0000 0.0000 0.5000 Zn
0.0000 0.0000 0.0000 Zn
0.4988 0.0000 0.7500 Zn
0.5012 0.0000 0.2500 Zn
0.5007 0.5000 0.2500 Zn
```

Fermi-level density of states (states/eV/cell): 12.4
ΔH_f (0 K) (meV per atom): -110.9
DFT total energy (eV per atom): -4.5943